[1]
DFT (GGA-PBE) results for ReIr4Ru after structural relaxation.

Values from the calculation:
energy: -9.05 eV per atom
V: 17.04 Å³/atom
polymorph energy (0 for the lowest one): 3.416 eV per formula unit
size of the total moment: 0.069 μB per atom
SG: C2/m
formation enthalpy at 0 K: 0.483 eV/atom

Cell lengths 4.426, 4.426, 7.248 Å; angles 115.81, 115.81, 55.85 degrees
Fractional coordinates of all 6 atoms:
Re (0.000, 0.000, 0.000)
Ir (0.262, 0.262, 0.387)
Ir (0.269, 0.269, 0.888)
Ir (0.731, 0.731, 0.112)
Ir (0.738, 0.738, 0.613)
Ru (0.000, 0.000, 0.500)

***

[2]
DFT (GGA-PBE) results for ReIrRu3 after structural relaxation.

Values from the calculation:
energy: -7.82 eV per atom
V: 19.46 Å³/atom
polymorph energy (0 for the lowest one): 9.549 eV per formula unit
size of the total moment: 0.524 μB per atom
SG: Pm-3m
formation enthalpy at 0 K: 2.004 eV/atom

Cell lengths 4.600, 4.600, 4.600 Å; angles 90.00, 90.00, 90.00 degrees
Fractional coordinates of all 5 atoms:
Re (0.000, 0.000, 0.000)
Ir (0.500, 0.500, 0.500)
Ru (0.000, 0.000, 0.500)
Ru (0.000, 0.500, 0.000)
Ru (0.500, 0.000, 0.000)

***

[3]
DFT (GGA-PBE) results for ReIrRu2 after structural relaxation.

Values from the calculation:
energy: -9.98 eV per atom
V: 14.30 Å³/atom
size of the total moment: 0.000 μB per atom
SG: Cmmm
formation enthalpy at 0 K: -0.011 eV/atom

Cell lengths 4.707, 4.707, 2.735 Å; angles 90.00, 90.00, 109.20 degrees
Fractional coordinates of all 4 atoms:
Re (0.000, 0.000, 0.000)
Ir (0.500, 0.500, 0.000)
Ru (0.000, 0.500, 0.500)
Ru (0.500, 0.000, 0.500)

***

[4]
DFT (GGA-PBE) results for ReIr2Ru after structural relaxation.

Values from the calculation:
energy: -8.85 eV per atom
V: 21.48 Å³/atom
size of the total moment: 0.000 μB per atom
SG: Cm
formation enthalpy at 0 K: 1.010 eV/atom

Cell lengths 3.942, 3.942, 6.794 Å; angles 106.97, 106.97, 59.83 degrees
Fractional coordinates of all 4 atoms:
Re (0.000, 0.000, 0.000)
Ir (0.378, 0.378, 0.135)
Ir (0.876, 0.876, 0.625)
Ru (0.506, 0.506, 0.513)

***

[5]
DFT (GGA-PBE) results for ReIrRu2 after structural relaxation.

Values from the calculation:
energy: -8.81 eV per atom
V: 21.28 Å³/atom
size of the total moment: 0.000 μB per atom
SG: I-42d
formation enthalpy at 0 K: 1.157 eV/atom

Cell lengths 6.759, 6.759, 6.759 Å; angles 131.38, 131.38, 71.21 degrees
Fractional coordinates of all 8 atoms:
Re (0.000, 0.000, 0.000)
Re (0.750, 0.250, 0.500)
Ir (0.250, 0.750, 0.500)
Ir (0.500, 0.500, 0.000)
Ru (0.125, 0.625, 0.000)
Ru (0.375, 0.375, 0.500)
Ru (0.625, 0.125, 0.000)
Ru (0.875, 0.875, 0.500)

***

[6]
DFT (GGA-PBE) results for ReIrRu2 after structural relaxation.

Values from the calculation:
energy: -10.02 eV per atom
V: 14.28 Å³/atom
size of the total moment: 0.000 μB per atom
SG: P4/mmm
formation enthalpy at 0 K: -0.056 eV/atom

Cell lengths 3.858, 3.858, 3.836 Å; angles 90.00, 90.00, 90.00 degrees
Fractional coordinates of all 4 atoms:
Re (0.000, 0.000, 0.000)
Ir (0.500, 0.500, 0.000)
Ru (0.000, 0.500, 0.500)
Ru (0.500, 0.000, 0.500)

***

[7]
DFT (GGA-PBE) results for ReIrRu after structural relaxation.

Values from the calculation:
energy: -9.85 eV per atom
V: 17.07 Å³/atom
polymorph energy (0 for the lowest one): 1.595 eV per formula unit
size of the total moment: 0.000 μB per atom
SG: F-43m
formation enthalpy at 0 K: 0.344 eV/atom

Cell lengths 4.168, 4.168, 4.168 Å; angles 60.00, 60.00, 60.00 degrees
Fractional coordinates of all 3 atoms:
Re (0.000, 0.000, 0.000)
Ir (0.750, 0.750, 0.750)
Ru (0.250, 0.250, 0.250)

***

[8]
DFT (GGA-PBE) results for Re2IrRu4 after structural relaxation.

Values from the calculation:
energy: -10.16 eV per atom
V: 14.28 Å³/atom
size of the total moment: 0.000 μB per atom
SG: R3m
formation enthalpy at 0 K: -0.036 eV/atom

Cell lengths 15.376, 15.376, 15.376 Å; angles 10.25, 10.25, 10.25 degrees
Fractional coordinates of all 7 atoms:
Re (0.000, 0.000, 0.000)
Re (0.096, 0.096, 0.096)
Ir (0.905, 0.905, 0.905)
Ru (0.191, 0.191, 0.191)
Ru (0.286, 0.286, 0.286)
Ru (0.716, 0.716, 0.716)
Ru (0.810, 0.810, 0.810)

***

[9]
DFT (GGA-PBE) results for ReIrRu after structural relaxation.

Values from the calculation:
energy: -10.08 eV per atom
V: 14.76 Å³/atom
polymorph energy (0 for the lowest one): 0.920 eV per formula unit
size of the total moment: 0.000 μB per atom
SG: P-6m2
formation enthalpy at 0 K: 0.118 eV/atom

Cell lengths 4.320, 4.320, 2.740 Å; angles 90.00, 90.00, 120.00 degrees
Fractional coordinates of all 3 atoms:
Re (0.000, 0.000, 0.000)
Ir (0.667, 0.333, 0.500)
Ru (0.333, 0.667, 0.000)

***

[10]
DFT (GGA-PBE) results for ReIr2Ru after structural relaxation.

Values from the calculation:
energy: -9.96 eV per atom
V: 14.41 Å³/atom
size of the total moment: 0.000 μB per atom
SG: Pmmm
formation enthalpy at 0 K: -0.103 eV/atom

Cell lengths 2.721, 3.901, 5.431 Å; angles 90.00, 90.00, 90.00 degrees
Fractional coordinates of all 4 atoms:
Re (0.000, 0.000, 0.000)
Ir (0.500, 0.500, 0.251)
Ir (0.500, 0.500, 0.749)
Ru (0.000, 0.000, 0.500)

***

[11]
DFT (GGA-PBE) results for Re2Ir3Ru4 after structural relaxation.

Values from the calculation:
energy: -9.77 eV per atom
V: 14.69 Å³/atom
size of the total moment: 0.000 μB per atom
SG: C2/c
formation enthalpy at 0 K: 0.077 eV/atom

Cell lengths 6.089, 6.089, 7.163 Å; angles 90.31, 90.31, 95.51 degrees
Fractional coordinates of all 18 atoms:
Re (0.031, 0.301, 0.433)
Re (0.301, 0.031, 0.933)
Re (0.699, 0.969, 0.067)
Re (0.969, 0.699, 0.567)
Ir (0.088, 0.912, 0.250)
Ir (0.242, 0.423, 0.754)
Ir (0.423, 0.242, 0.254)
Ir (0.577, 0.758, 0.746)
Ir (0.758, 0.577, 0.246)
Ir (0.912, 0.088, 0.750)
Ru (0.026, 0.305, 0.071)
Ru (0.305, 0.026, 0.571)
Ru (0.358, 0.631, 0.431)
Ru (0.369, 0.642, 0.069)
Ru (0.631, 0.358, 0.931)
Ru (0.642, 0.369, 0.569)
Ru (0.695, 0.974, 0.429)
Ru (0.974, 0.695, 0.929)

***

[12]
DFT (GGA-PBE) results for Re2IrRu5 after structural relaxation.

Values from the calculation:
energy: -10.01 eV per atom
V: 14.29 Å³/atom
size of the total moment: 0.000 μB per atom
SG: I4mm
formation enthalpy at 0 K: 0.009 eV/atom

Cell lengths 5.445, 5.445, 5.445 Å; angles 119.89, 119.89, 90.19 degrees
Fractional coordinates of all 8 atoms:
Re (0.000, 0.500, 0.500)
Re (0.500, 0.000, 0.500)
Ir (0.010, 0.010, 0.000)
Ru (0.017, 0.017, 0.501)
Ru (0.017, 0.516, 0.000)
Ru (0.511, 0.511, 0.000)
Ru (0.516, 0.017, 0.000)
Ru (0.516, 0.516, 0.499)

***

[13]
DFT (GGA-PBE) results for ReIr2Ru after structural relaxation.

Values from the calculation:
energy: -9.39 eV per atom
V: 14.88 Å³/atom
size of the total moment: 0.146 μB per atom
SG: F-43m
formation enthalpy at 0 K: 0.473 eV/atom

Cell lengths 4.382, 4.382, 4.382 Å; angles 60.00, 60.00, 60.00 degrees
Fractional coordinates of all 4 atoms:
Re (0.000, 0.000, 0.000)
Ir (0.250, 0.250, 0.250)
Ir (0.500, 0.500, 0.500)
Ru (0.750, 0.750, 0.750)

***

[14]
DFT (GGA-PBE) results for ReIr2Ru after structural relaxation.

Values from the calculation:
energy: -10.03 eV per atom
V: 14.39 Å³/atom
size of the total moment: 0.000 μB per atom
SG: Pmm2
formation enthalpy at 0 K: -0.167 eV/atom

Cell lengths 2.748, 4.371, 4.793 Å; angles 90.00, 90.00, 90.00 degrees
Fractional coordinates of all 4 atoms:
Re (0.000, 0.000, 0.000)
Ir (0.500, 0.000, 0.509)
Ir (0.500, 0.500, 0.174)
Ru (0.000, 0.500, 0.671)

***

[15]
DFT (GGA-PBE) results for ReIr4Ru after structural relaxation.

Values from the calculation:
energy: -8.94 eV per atom
V: 15.47 Å³/atom
polymorph energy (0 for the lowest one): 4.022 eV per formula unit
size of the total moment: 0.001 μB per atom
SG: F-43m
formation enthalpy at 0 K: 0.584 eV/atom

Cell lengths 5.082, 5.082, 5.082 Å; angles 60.00, 60.00, 60.00 degrees
Fractional coordinates of all 6 atoms:
Re (0.000, 0.000, 0.000)
Ir (0.125, 0.625, 0.625)
Ir (0.625, 0.125, 0.625)
Ir (0.625, 0.625, 0.125)
Ir (0.625, 0.625, 0.625)
Ru (0.250, 0.250, 0.250)

***

[16]
DFT (GGA-PBE) results for Re3IrRu after structural relaxation.

Values from the calculation:
energy: -11.15 eV per atom
V: 14.80 Å³/atom
polymorph energy (0 for the lowest one): 0.000 eV per formula unit
size of the total moment: 0.000 μB per atom
SG: P-1
formation enthalpy at 0 K: -0.051 eV/atom

Cell lengths 2.751, 5.211, 10.727 Å; angles 85.84, 89.97, 74.79 degrees
Fractional coordinates of all 10 atoms:
Re (0.103, 0.294, 0.090)
Re (0.266, 0.969, 0.713)
Re (0.364, 0.770, 0.486)
Re (0.636, 0.230, 0.514)
Re (0.734, 0.031, 0.287)
Re (0.897, 0.706, 0.910)
Ir (0.377, 0.749, 0.124)
Ir (0.623, 0.251, 0.876)
Ru (0.007, 0.487, 0.320)
Ru (0.993, 0.513, 0.680)

***

[17]
DFT (GGA-PBE) results for Re2Ir2Ru5 after structural relaxation.

Values from the calculation:
energy: -9.89 eV per atom
V: 14.27 Å³/atom
size of the total moment: 0.000 μB per atom
SG: C2/m
formation enthalpy at 0 K: -0.004 eV/atom

Cell lengths 4.717, 4.717, 8.160 Å; angles 106.97, 106.97, 48.31 degrees
Fractional coordinates of all 9 atoms:
Re (0.167, 0.167, 0.057)
Re (0.833, 0.833, 0.943)
Ir (0.168, 0.168, 0.388)
Ir (0.832, 0.832, 0.612)
Ru (0.167, 0.167, 0.725)
Ru (0.500, 0.500, 0.166)
Ru (0.500, 0.500, 0.500)
Ru (0.500, 0.500, 0.834)
Ru (0.833, 0.833, 0.275)

***

[18]
DFT (GGA-PBE) results for ReIrRu after structural relaxation.

Values from the calculation:
energy: -10.27 eV per atom
V: 14.43 Å³/atom
polymorph energy (0 for the lowest one): 0.352 eV per formula unit
size of the total moment: 0.000 μB per atom
SG: Imm2
formation enthalpy at 0 K: -0.071 eV/atom

Cell lengths 4.736, 4.736, 4.736 Å; angles 146.65, 131.58, 60.07 degrees
Fractional coordinates of all 3 atoms:
Re (0.000, 0.000, 0.000)
Ir (0.333, 0.333, 0.000)
Ru (0.664, 0.664, 0.000)

***

[19]
DFT (GGA-PBE) results for ReIr2Ru after structural relaxation.

Values from the calculation:
energy: -8.86 eV per atom
V: 21.50 Å³/atom
size of the total moment: 0.000 μB per atom
SG: I-42d
formation enthalpy at 0 K: 1.005 eV/atom

Cell lengths 6.770, 6.770, 6.770 Å; angles 131.17, 131.17, 71.54 degrees
Fractional coordinates of all 8 atoms:
Re (0.000, 0.000, 0.000)
Re (0.750, 0.250, 0.500)
Ir (0.127, 0.625, 0.002)
Ir (0.375, 0.377, 0.502)
Ir (0.623, 0.125, 0.998)
Ir (0.875, 0.873, 0.498)
Ru (0.250, 0.750, 0.500)
Ru (0.500, 0.500, 0.000)

***

[20]
DFT (GGA-PBE) results for ReIrRu after structural relaxation.

Values from the calculation:
energy: -10.23 eV per atom
V: 14.48 Å³/atom
polymorph energy (0 for the lowest one): 0.469 eV per formula unit
size of the total moment: 0.000 μB per atom
SG: P3m1
formation enthalpy at 0 K: -0.032 eV/atom

Cell lengths 2.737, 2.737, 6.698 Å; angles 90.00, 90.00, 120.00 degrees
Fractional coordinates of all 3 atoms:
Re (0.000, 0.000, 0.000)
Ir (0.667, 0.333, 0.665)
Ru (0.333, 0.667, 0.321)